1.
The following is a PBE-GGA calculation of a geometry-optimized CaZrIn structure, from the Alexandria database.

Structure (POSCAR):
```
CaZrIn
1.0
3.334 0.000 0.000
0.000 3.334 0.000
0.000 0.000 14.246
Ca Zr In
2 2 2
Cartesian
0.000 0.000 0.000
1.667 1.667 7.123
0.000 0.000 9.811
1.667 1.667 2.688
0.000 0.000 4.728
1.667 1.667 11.851
```

## Properties
* total magnetic moment: 0.0 μB per formula unit
* ΔH_f (0 K): -0.086 eV/atom
* total DFT energy (no corrections): -13.55 eV/f.u.


2.
The following is a PBE-GGA calculation of a geometry-optimized Ca3ZrIn structure, from the Alexandria database.

Structure (POSCAR):
```
Ca3ZrIn
1.0
5.863 0.000 0.000
0.000 5.863 0.000
0.000 0.000 5.863
Ca Zr In
3 1 1
Cartesian
0.000 0.000 2.931
0.000 2.931 0.000
2.931 0.000 0.000
2.931 2.931 2.931
0.000 0.000 0.000
```

## Properties
* total magnetic moment: 3.0 μB per formula unit
* ΔH_f (0 K): 0.597 eV/atom
* total DFT energy (no corrections): -14.30 eV/f.u.


3.
The following is a PBE-GGA calculation of a geometry-optimized Ca2ZrIn structure, from the Alexandria database.

Structure (POSCAR):
```
Ca2ZrIn
1.0
3.449 0.000 0.000
-1.724 2.987 0.000
0.000 0.000 33.761
Ca Zr In
6 3 3
Cartesian
0.000 0.000 8.371
0.000 0.000 25.390
0.000 1.991 14.136
0.000 1.991 30.878
1.724 0.996 2.883
1.724 0.996 19.624
0.000 0.000 0.000
0.000 1.991 22.507
1.724 0.996 11.254
0.000 0.000 16.880
0.000 1.991 5.627
1.724 0.996 28.134
```

## Properties
* total magnetic moment: 0.1 μB per formula unit
* ΔH_f (0 K): 0.079 eV/atom
* total DFT energy (no corrections): -14.97 eV/f.u.


What is the ΔH_f (0 K) in the third record? 0.079 eV/atom


The lowest total DFT energy (no corrections) belongs to which entry? Ca2ZrIn